TlSi2AuN | GGA-PBE | optimized geometry

Cell: 5.2931 5.2931 4.1027 Å, 90.00 90.00 90.00°
Closest atoms and distances in Å follow each position.
Space group P4/mmm (No. 123)
Inequivalent atoms, fractional coordinates:
Tl 0.0000 0.0000 0.0000 x1  2 N 2.05
Si 0.0000 0.5000 0.0000 x2  2 Tl 2.65
Au 0.5000 0.5000 0.5000 x1  8 Si 3.35, 4 N 3.74
N 0.0000 0.0000 0.5000 x1  2 Tl 2.05

Calculated values
The energy relative to the elements, uncorrected comes out at 1803 meV per atom. The value obtained for the density of states at the Fermi level is 0.45 states/eV/atom.